A plane-wave DFT calculation with PBE-GGA was carried out for crystalline Nd2SnBi at its relaxed geometry.

a b c (Å): 12.6383 12.6383 4.4882
angles (deg): 90.00 90.00 158.72
Closest atoms and distances in Å follow each position.
Fractional positions:
Nd 0.0620 0.9380 0.7500  1 Bi 3.15, 6 Sn 3.27-3.53
Nd 0.3186 0.6814 0.7500  5 Bi 3.22-3.24, 1 Sn 3.40
Nd 0.6814 0.3186 0.2500  5 Bi 3.22-3.24, 1 Sn 3.40
Nd 0.9380 0.0620 0.2500  1 Bi 3.15, 6 Sn 3.27-3.53
Sn 0.4555 0.5445 0.7500  2 Sn 3.15, 7 Nd 3.27-3.53
Sn 0.5445 0.4555 0.2500  2 Sn 3.15, 7 Nd 3.27-3.53
Bi 0.1890 0.8110 0.7500  6 Nd 3.15-3.24
Bi 0.8110 0.1890 0.2500  6 Nd 3.15-3.24

Output
- DOS at the Fermi energy (states/eV per atom) = 0.4474
- energy (eV per atom) = -5.205
- DFT formation energy (meV/atom) = -850.0
- mass density (g/cm³) = 7.87